No. 1
Below is a relaxed Ga3Ge2 crystal, with properties calculated at the PBE-GGA level.

Cell: 6.308 6.308 6.308 Å, 66.89 66.89 66.89°
Positions (direct):
Ga (0.004, 0.750, 0.496)
Ga (0.250, 0.504, 0.996)
Ga (0.496, 0.004, 0.750)
Ga (0.504, 0.996, 0.250)
Ga (0.750, 0.496, 0.004)
Ga (0.996, 0.250, 0.504)
Ge (0.098, 0.098, 0.098)
Ge (0.402, 0.402, 0.402)
Ge (0.598, 0.598, 0.598)
Ge (0.902, 0.902, 0.902)

**Total magnetization**: 0.0 μB per cell
**Total energy**: -3.56 eV per atom



No. 2
Below is a relaxed SrHoMoN3 crystal, with properties calculated at the PBE-GGA level.

Cell: 7.553 3.584 8.153 Å, 90.00 101.03 90.00°
Positions (direct):
Sr (0.183, 0.250, 0.173)
Sr (0.817, 0.750, 0.827)
Ho (0.376, 0.750, 0.851)
Ho (0.624, 0.250, 0.149)
Mo (0.087, 0.250, 0.607)
Mo (0.913, 0.750, 0.393)
N (0.109, 0.250, 0.838)
N (0.173, 0.750, 0.536)
N (0.426, 0.750, 0.130)
N (0.574, 0.250, 0.870)
N (0.827, 0.250, 0.464)
N (0.891, 0.750, 0.162)

**Total magnetization**: 0.0 μB per cell
**Total energy**: -7.86 eV per atom



- What is the formula in the second record?
  SrHoMoN3